1.
{"formula": "CsBaI3", "functional": "PBE", "state": "optimized geometry", "spacegroup": "R3m, No. 160", "mass_density_g_cm3": 2.44, "e_tot_ev_per_fu": -14.7, "magnetic_moment_mub_per_cell": 0.0, "formation_energy_uncorrected_ev_per_fu": -7.25, "cell": [[5.2044, 3.0048, 4.7123], [-5.2044, 3.0048, 4.7123], [0.0000, -6.0095, 4.7123]], "species": ["Cs", "Ba", "I", "I", "I"], "frac_coords": [[0.0000, 0.0000, 0.0000], [0.6685, 0.6685, 0.6685], [0.4976, 0.9471, 0.9471], [0.9471, 0.4976, 0.9471], [0.9471, 0.9471, 0.4976]]}

=====

2.
{"formula": "CsBaI3", "functional": "PBE", "state": "optimized geometry", "spacegroup": "Fd-3m, No. 227", "mass_density_g_cm3": 3.36, "e_tot_ev_per_fu": -15.6, "magnetic_moment_mub_per_cell": 0.0, "formation_energy_uncorrected_ev_per_fu": -8.16, "cell": [[0.0000, 8.6352, 8.6352], [8.6352, 0.0000, 8.6352], [8.6352, 8.6352, 0.0000]], "species": ["Cs", "Cs", "Cs", "Cs", "Ba", "Ba", "Ba", "Ba", "I", "I", "I", "I", "I", "I", "I", "I", "I", "I", "I", "I"], "frac_coords": [[0.0000, 0.0000, 0.0000], [0.0000, 0.0000, 0.5000], [0.0000, 0.5000, 0.0000], [0.5000, 0.0000, 0.0000], [0.0000, 0.5000, 0.5000], [0.5000, 0.0000, 0.5000], [0.5000, 0.5000, 0.0000], [0.5000, 0.5000, 0.5000], [0.1536, 0.1536, 0.5964], [0.1536, 0.5964, 0.1536], [0.1536, 0.5964, 0.5964], [0.4036, 0.4036, 0.8464], [0.4036, 0.8464, 0.4036], [0.4036, 0.8464, 0.8464], [0.5964, 0.1536, 0.1536], [0.5964, 0.1536, 0.5964], [0.5964, 0.5964, 0.1536], [0.8464, 0.4036, 0.4036], [0.8464, 0.4036, 0.8464], [0.8464, 0.8464, 0.4036]]}

=====

3.
{"formula": "CsBaI3", "functional": "PBE", "state": "optimized geometry", "spacegroup": "P-1, No. 2", "mass_density_g_cm3": 3.55, "e_tot_ev_per_fu": -15.8, "magnetic_moment_mub_per_cell": 0.0, "formation_energy_uncorrected_ev_per_fu": -8.42, "cell": [[9.0205, 0.0000, 0.0000], [4.1815, 8.0388, 0.0000], [3.9682, -1.6648, 8.3898]], "species": ["Cs", "Cs", "Ba", "Ba", "I", "I", "I", "I", "I", "I"], "frac_coords": [[0.2002, 0.3563, 0.1565], [0.7998, 0.6437, 0.8435], [0.3351, 0.8300, 0.5073], [0.6649, 0.1700, 0.4927], [0.0279, 0.7603, 0.4309], [0.3114, 0.5486, 0.7684], [0.4004, 0.0174, 0.7772], [0.5996, 0.9826, 0.2228], [0.6886, 0.4514, 0.2316], [0.9721, 0.2397, 0.5691]]}

=====

Question: What is the formula in the first record?
Answer: CsBaI3